First-principles (PBE) data for crystalline CsLi2YO at its relaxed geometry, as listed in Alexandria.

Its total magnetic moment is 0.00 Bohr magnetons per cell. The energy relative to the elements, uncorrected is -0.5988 eV/atom. The mass density is 2.647 g cm⁻³.

It has space group P4/mmm (No. 123), with a = 6.071 Å, b = 6.071 Å, c = 4.283 Å, α = 90.00°, β = 90.00° and γ = 90.00°. Symmetry generates all atoms from Cs at (0.000, 0.000, 0.000), Li at (0.000, 0.500, 0.500), Y at (0.500, 0.500, 0.000) and O at (0.500, 0.500, 0.500).


First-principles (PBE) data for crystalline CsLiZrO3 at its relaxed geometry, as listed in Alexandria.

Its total magnetic moment is 0.00 Bohr magnetons per cell. The energy relative to the elements, uncorrected is -2.5039 eV/atom. The mass density is 4.809 g cm⁻³.

It has space group Cmcm (No. 63), with a = 3.374 Å, b = 13.363 Å, c = 8.548 Å, α = 90.00°, β = 90.00° and γ = 90.00°. Symmetry generates all atoms from Cs at (0.000, 0.229, 0.250), Li at (0.000, 0.050, 0.750), Zr at (0.000, 0.500, 0.000), O at (0.000, 0.099, 0.540) and O at (0.000, 0.476, 0.750).


First-principles (PBE) data for crystalline Cs2LiZr3O8 at its relaxed geometry, as listed in Alexandria.

Its total magnetic moment is 3.08 Bohr magnetons per cell. The energy relative to the elements, uncorrected is -2.5845 eV/atom. The mass density is 4.133 g cm⁻³.

It has space group R3m (No. 160, hexagonal axes), with a = 6.5647 Å, b = 6.5647 Å, c = 21.7829 Å, α = 90.00°, β = 90.00° and γ = 120.00°. Symmetry generates all atoms from Cs at (0.0000, 0.0000, 0.0000), Cs at (0.0000, 0.0000, 0.3637), Li at (0.0000, 0.0000, 0.8184), Zr at (0.1671, 0.3342, 0.1925), O at (0.0000, 0.0000, 0.1418), O at (0.0000, 0.0000, 0.5746), O at (0.0141, 0.5071, 0.1451) and O at (0.1879, 0.3757, 0.9114).


First-principles (PBE) data for crystalline Cs2Li2ZrO4 at its relaxed geometry, as listed in Alexandria.

Its total magnetic moment is 0.00 Bohr magnetons per cell. The energy relative to the elements, uncorrected is -2.1238 eV/atom. The mass density is 5.054 g cm⁻³.

It has space group C2/m (No. 12), with a = 12.609 Å, b = 3.458 Å, c = 6.947 Å, α = 90.00°, β = 109.36° and γ = 90.00°. Symmetry generates all atoms from Cs at (0.145, 0.000, 0.082), Li at (0.179, 0.500, 0.484), Zr at (0.000, 0.000, 0.500), O at (0.015, 0.500, 0.310) and O at (0.179, 0.000, 0.609).


First-principles (PBE) data for crystalline Cs3LiOs at its relaxed geometry, as listed in Alexandria.

Its total magnetic moment is 2.45 Bohr magnetons per cell. The mass density is 2.956 g cm⁻³. The value obtained for the formation energy is 7.36 eV per formula unit.

It has space group Pm-3m (No. 221), with a = 6.943 Å, b = 6.943 Å, c = 6.943 Å, α = 90.00°, β = 90.00° and γ = 90.00°. Symmetry generates all atoms from Cs at (0.000, 0.000, 0.500), Li at (0.000, 0.000, 0.000) and Os at (0.500, 0.500, 0.500).


First-principles (PBE) data for crystalline CsLi2OsSe at its relaxed geometry, as listed in Alexandria.

Its total magnetic moment is 0.00 Bohr magnetons per cell. The energy relative to the elements, uncorrected is 0.3069 eV/atom. The mass density is 5.578 g cm⁻³.

It has space group P4/mmm (No. 123), with a = 5.164 Å, b = 5.164 Å, c = 4.644 Å, α = 90.00°, β = 90.00° and γ = 90.00°. Symmetry generates all atoms from Cs at (0.000, 0.000, 0.000), Li at (0.000, 0.500, 0.500), Os at (0.500, 0.500, 0.000) and Se at (0.500, 0.500, 0.500).